[1]
# Pm4Er3Pt4 (GGA-PBE, relaxed)
data_Pm4Er3Pt4
_chemical_formula_sum 'Pm4 Er3 Pt4'
_cell_length_a 9.617
_cell_length_b 9.617
_cell_length_c 9.617
_cell_angle_alpha 157.14
_cell_angle_beta 124.80
_cell_angle_gamma 60.52
_symmetry_space_group_name_H-M 'P 1'
_symmetry_Int_Tables_number 1
loop_
_symmetry_equiv_pos_as_xyz
'x,y,z'
loop_
_atom_site_label
_atom_site_type_symbol
_atom_site_fract_x
_atom_site_fract_y
_atom_site_fract_z
Pm1 Pm 0.022 0.836 0.186
Pm2 Pm 0.350 0.164 0.186
Pm3 Pm 0.650 0.836 0.814
Pm4 Pm 0.978 0.164 0.814
Er1 Er 0.000 0.500 0.500
Er2 Er 0.403 0.403 0.000
Er3 Er 0.597 0.597 0.000
Pt1 Pt 0.262 0.762 0.500
Pt2 Pt 0.305 0.000 0.305
Pt3 Pt 0.695 0.000 0.695
Pt4 Pt 0.738 0.238 0.500
# **DFT formation energy**: -0.827 eV/atom
# **D(E_F)**: 8.8 states/eV/cell
# **V**: 25.65 Å³ per atom
# **SG**: Immm, No. 71

***

[2]
# Cd2TeRh (GGA-PBE, relaxed)
data_Cd2TeRh
_chemical_formula_sum 'Cd2 Te1 Rh1'
_cell_length_a 5.507
_cell_length_b 5.507
_cell_length_c 5.507
_cell_angle_alpha 135.43
_cell_angle_beta 135.43
_cell_angle_gamma 64.86
_symmetry_space_group_name_H-M 'P 1'
_symmetry_Int_Tables_number 1
loop_
_symmetry_equiv_pos_as_xyz
'x,y,z'
loop_
_atom_site_label
_atom_site_type_symbol
_atom_site_fract_x
_atom_site_fract_y
_atom_site_fract_z
Cd1 Cd 0.250 0.750 0.500
Cd2 Cd 0.750 0.250 0.500
Te1 Te 0.000 0.000 0.000
Rh1 Rh 0.500 0.500 0.000
# **ΔE_f (raw)**: 0.043 eV per atom
# **D(E_F)**: 1.9 states/eV/cell
# **V**: 20.27 Å³ per atom
# **SG**: I4/mmm, No. 139

***

[3]
# CeEuGdTh (GGA-PBE, relaxed)
data_CeEuGdTh
_chemical_formula_sum 'Ce1 Eu1 Gd1 Th1'
_cell_length_a 5.751
_cell_length_b 5.751
_cell_length_c 5.751
_cell_angle_alpha 60.00
_cell_angle_beta 60.00
_cell_angle_gamma 60.00
_symmetry_space_group_name_H-M 'P 1'
_symmetry_Int_Tables_number 1
loop_
_symmetry_equiv_pos_as_xyz
'x,y,z'
loop_
_atom_site_label
_atom_site_type_symbol
_atom_site_fract_x
_atom_site_fract_y
_atom_site_fract_z
Ce1 Ce 0.000 0.000 0.000
Eu1 Eu 0.250 0.250 0.250
Gd1 Gd 0.500 0.500 0.500
Th1 Th 0.750 0.750 0.750
# **DFT formation energy**: 0.258 eV/atom
# **D(E_F)**: 10.5 states/eV/cell
# **V**: 33.63 Å³ per atom
# **SG**: F-43m, No. 216

***

[4]
# CsNa4Hg (GGA-PBE, relaxed)
data_CsNa4Hg
_chemical_formula_sum 'Cs2 Na8 Hg2'
_cell_length_a 10.624
_cell_length_b 4.984
_cell_length_c 9.811
_cell_angle_alpha 90.00
_cell_angle_beta 90.00
_cell_angle_gamma 90.00
_symmetry_space_group_name_H-M 'P 1'
_symmetry_Int_Tables_number 1
loop_
_symmetry_equiv_pos_as_xyz
'x,y,z'
loop_
_atom_site_label
_atom_site_type_symbol
_atom_site_fract_x
_atom_site_fract_y
_atom_site_fract_z
Cs1 Cs 0.250 0.000 0.085
Cs2 Cs 0.750 0.000 0.915
Na1 Na 0.000 0.000 0.500
Na2 Na 0.073 0.500 0.769
Na3 Na 0.250 0.500 0.463
Na4 Na 0.427 0.500 0.769
Na5 Na 0.500 0.000 0.500
Na6 Na 0.573 0.500 0.231
Na7 Na 0.750 0.500 0.537
Na8 Na 0.927 0.500 0.231
Hg1 Hg 0.250 0.000 0.686
Hg2 Hg 0.750 0.000 0.314
# **DFT formation energy**: -0.086 eV/atom
# **D(E_F)**: 5.8 states/eV/cell
# **V**: 43.29 Å³ per atom
# **SG**: Pmma, No. 51

***

[5]
# ScAl11Ru (GGA-PBE, relaxed)
data_ScAl11Ru
_chemical_formula_sum 'Sc1 Al11 Ru1'
_cell_length_a 6.824
_cell_length_b 6.824
_cell_length_c 7.033
_cell_angle_alpha 97.40
_cell_angle_beta 97.40
_cell_angle_gamma 135.52
_symmetry_space_group_name_H-M 'P 1'
_symmetry_Int_Tables_number 1
loop_
_symmetry_equiv_pos_as_xyz
'x,y,z'
loop_
_atom_site_label
_atom_site_type_symbol
_atom_site_fract_x
_atom_site_fract_y
_atom_site_fract_z
Sc1 Sc 0.000 0.000 0.000
Al1 Al 0.000 0.000 0.500
Al2 Al 0.000 0.500 0.000
Al3 Al 0.013 0.359 0.358
Al4 Al 0.288 0.500 0.781
Al5 Al 0.359 0.013 0.358
Al6 Al 0.500 0.000 0.000
Al7 Al 0.500 0.288 0.781
Al8 Al 0.500 0.712 0.219
Al9 Al 0.641 0.987 0.642
Al10 Al 0.712 0.500 0.219
Al11 Al 0.987 0.641 0.642
Ru1 Ru 0.500 0.500 0.500
# **DFT formation energy**: -0.210 eV/atom
# **D(E_F)**: 6.1 states/eV/cell
# **V**: 16.60 Å³ per atom
# **SG**: C2/m, No. 12

***

[6]
# HoTmSb (GGA-PBE, relaxed)
data_HoTmSb
_chemical_formula_sum 'Ho1 Tm1 Sb1'
_cell_length_a 5.992
_cell_length_b 5.992
_cell_length_c 5.992
_cell_angle_alpha 141.73
_cell_angle_beta 141.73
_cell_angle_gamma 55.24
_symmetry_space_group_name_H-M 'P 1'
_symmetry_Int_Tables_number 1
loop_
_symmetry_equiv_pos_as_xyz
'x,y,z'
loop_
_atom_site_label
_atom_site_type_symbol
_atom_site_fract_x
_atom_site_fract_y
_atom_site_fract_z
Ho1 Ho 0.000 0.000 0.000
Tm1 Tm 0.309 0.309 0.000
Sb1 Sb 0.657 0.657 0.000
# **ΔE_f (raw)**: -0.607 eV per atom
# **D(E_F)**: 2.0 states/eV/cell
# **V**: 27.31 Å³ per atom
# **SG**: I4mm, No. 107

***

[7]
# Mg3GeW (GGA-PBE, relaxed)
data_Mg3GeW
_chemical_formula_sum 'Mg3 Ge1 W1'
_cell_length_a 5.225
_cell_length_b 5.225
_cell_length_c 5.225
_cell_angle_alpha 90.00
_cell_angle_beta 90.00
_cell_angle_gamma 90.00
_symmetry_space_group_name_H-M 'P 1'
_symmetry_Int_Tables_number 1
loop_
_symmetry_equiv_pos_as_xyz
'x,y,z'
loop_
_atom_site_label
_atom_site_type_symbol
_atom_site_fract_x
_atom_site_fract_y
_atom_site_fract_z
Mg1 Mg 0.000 0.000 0.500
Mg2 Mg 0.000 0.500 0.000
Mg3 Mg 0.500 0.000 0.000
Ge1 Ge 0.500 0.500 0.500
W1 W 0.000 0.000 0.000
# **DFT formation energy**: 1.451 eV/atom
# **D(E_F)**: 4.1 states/eV/cell
# **V**: 28.52 Å³ per atom
# **SG**: Pm-3m, No. 221

***

[8]
# TlAgSe (GGA-PBE, relaxed)
data_TlAgSe
_chemical_formula_sum 'Tl1 Ag1 Se1'
_cell_length_a 4.545
_cell_length_b 4.545
_cell_length_c 4.592
_cell_angle_alpha 90.00
_cell_angle_beta 90.00
_cell_angle_gamma 120.00
_symmetry_space_group_name_H-M 'P 1'
_symmetry_Int_Tables_number 1
loop_
_symmetry_equiv_pos_as_xyz
'x,y,z'
loop_
_atom_site_label
_atom_site_type_symbol
_atom_site_fract_x
_atom_site_fract_y
_atom_site_fract_z
Tl1 Tl 0.000 0.000 0.000
Ag1 Ag 0.667 0.333 0.500
Se1 Se 0.333 0.667 0.500
# **ΔE_f (raw)**: -0.240 eV per atom
# **D(E_F)**: 0.3 states/eV/cell
# **V**: 27.39 Å³ per atom
# **SG**: P-6m2, No. 187

***

[9]
# K2CoSb (GGA-PBE, relaxed)
data_K2CoSb
_chemical_formula_sum 'K2 Co1 Sb1'
_cell_length_a 11.432
_cell_length_b 11.432
_cell_length_c 11.432
_cell_angle_alpha 17.60
_cell_angle_beta 17.60
_cell_angle_gamma 17.60
_symmetry_space_group_name_H-M 'P 1'
_symmetry_Int_Tables_number 1
loop_
_symmetry_equiv_pos_as_xyz
'x,y,z'
loop_
_atom_site_label
_atom_site_type_symbol
_atom_site_fract_x
_atom_site_fract_y
_atom_site_fract_z
K1 K 0.247 0.247 0.247
K2 K 0.753 0.753 0.753
Co1 Co 0.500 0.500 0.500
Sb1 Sb 0.000 0.000 0.000
# **ΔE_f (raw)**: 0.710 eV per atom
# **D(E_F)**: 5.5 states/eV/cell
# **V**: 29.81 Å³ per atom
# **SG**: R-3m, No. 166

***

[10]
# PaHgBi (GGA-PBE, relaxed)
data_PaHgBi
_chemical_formula_sum 'Pa1 Hg1 Bi1'
_cell_length_a 5.360
_cell_length_b 5.360
_cell_length_c 3.276
_cell_angle_alpha 90.00
_cell_angle_beta 90.00
_cell_angle_gamma 120.00
_symmetry_space_group_name_H-M 'P 1'
_symmetry_Int_Tables_number 1
loop_
_symmetry_equiv_pos_as_xyz
'x,y,z'
loop_
_atom_site_label
_atom_site_type_symbol
_atom_site_fract_x
_atom_site_fract_y
_atom_site_fract_z
Pa1 Pa 0.000 0.000 0.000
Hg1 Hg 0.667 0.333 0.651
Bi1 Bi 0.333 0.667 0.428
# **DFT formation energy**: 0.097 eV/atom
# **D(E_F)**: 4.8 states/eV/cell
# **V**: 27.17 Å³ per atom
# **SG**: P3m1, No. 156

***

M_tot / Bohr magnetons per cell: 0.00 0.00 17.12 0.00 0.00 0.99 2.00 0.00 1.58 1.65